[1]
Compound: Al2ZnAg
Source: the Alexandria database
Functional: PBE
Structure: relaxed

a b c (Å): 5.898 5.898 5.898
angles (deg): 102.49 102.49 124.56
Fractional positions:
Al: 0.121 0.625 0.996
Al: 0.375 0.371 0.496
Al: 0.629 0.125 0.004
Al: 0.875 0.879 0.504
Zn: 0.000 0.000 0.000
Zn: 0.750 0.250 0.500
Ag: 0.250 0.750 0.500
Ag: 0.500 0.500 0.000

Output
DOS at the Fermi energy ... 0.364 states/eV/atom
Energy of formation from the pure elements ... 0.246 eV per atom

[2]
Compound: AlZn2Ag
Source: the Alexandria database
Functional: PBE
Structure: relaxed

a b c (Å): 9.544 9.544 9.544
angles (deg): 156.06 156.06 34.12
Fractional positions:
Al: 0.000 0.000 0.000
Al: 0.750 0.250 0.500
Zn: 0.119 0.625 0.994
Zn: 0.375 0.369 0.494
Zn: 0.631 0.125 0.006
Zn: 0.875 0.881 0.506
Ag: 0.250 0.750 0.500
Ag: 0.500 0.500 0.000

Output
DOS at the Fermi energy ... 0.391 states/eV/atom
Energy of formation from the pure elements ... 0.128 eV per atom

[3]
Compound: AlZn2Ag4
Source: the Alexandria database
Functional: PBE
Structure: relaxed

a b c (Å): 5.390 5.390 4.325
angles (deg): 90.00 90.00 100.76
Fractional positions:
Al: 0.000 0.000 0.000
Zn: 0.225 0.775 0.500
Zn: 0.775 0.225 0.500
Ag: 0.000 0.500 0.000
Ag: 0.288 0.288 0.500
Ag: 0.500 0.000 0.000
Ag: 0.712 0.712 0.500

Output
Excess energy over the best structure of this formula in the dataset ... 0 meV per atom
DOS at the Fermi energy ... 0.245 states/eV/atom
Energy of formation from the pure elements ... 0.000 eV per atom

[4]
Compound: Al7Zn3Ag2
Source: the Alexandria database
Functional: PBE
Structure: relaxed

a b c (Å): 4.759 2.902 15.004
angles (deg): 90.00 92.83 90.00
Fractional positions:
Al: 0.000 0.000 0.000
Al: 0.154 0.500 0.844
Al: 0.271 0.500 0.612
Al: 0.362 0.000 0.156
Al: 0.638 0.000 0.844
Al: 0.729 0.500 0.388
Al: 0.846 0.500 0.156
Zn: 0.243 0.000 0.454
Zn: 0.500 0.500 0.000
Zn: 0.757 0.000 0.546
Ag: 0.212 0.500 0.300
Ag: 0.788 0.500 0.700

Output
DOS at the Fermi energy ... 0.247 states/eV/atom
Energy of formation from the pure elements ... 0.061 eV per atom

[5]
Compound: Al2Zn3Ag8
Source: the Alexandria database
Functional: PBE
Structure: relaxed

a b c (Å): 6.891 6.891 5.397
angles (deg): 97.26 97.26 66.95
Fractional positions:
Al: 0.199 0.199 0.286
Al: 0.801 0.801 0.714
Zn: 0.000 0.000 0.500
Zn: 0.174 0.826 0.000
Zn: 0.826 0.174 0.000
Ag: 0.189 0.567 0.578
Ag: 0.196 0.196 0.801
Ag: 0.409 0.409 0.133
Ag: 0.433 0.811 0.422
Ag: 0.567 0.189 0.578
Ag: 0.591 0.591 0.867
Ag: 0.804 0.804 0.199
Ag: 0.811 0.433 0.422

Output
Excess energy over the best structure of this formula in the dataset ... 0 meV per atom
DOS at the Fermi energy ... 0.354 states/eV/atom
Energy of formation from the pure elements ... 0.024 eV per atom

[6]
Compound: Al2ZnAg
Source: the Alexandria database
Functional: PBE
Structure: relaxed

a b c (Å): 2.934 5.033 9.292
angles (deg): 99.56 97.12 90.30
Fractional positions:
Al: 0.150 0.330 0.257
Al: 0.250 0.750 0.497
Al: 0.750 0.250 0.503
Al: 0.850 0.670 0.743
Zn: 0.000 0.000 0.000
Zn: 0.000 0.500 0.000
Ag: 0.369 0.173 0.761
Ag: 0.631 0.827 0.239

Output
DOS at the Fermi energy ... 0.227 states/eV/atom
Energy of formation from the pure elements ... 0.014 eV per atom

[7]
Compound: AlZnAg
Source: the Alexandria database
Functional: PBE
Structure: relaxed

a b c (Å): 2.904 2.920 13.177
angles (deg): 89.12 89.21 61.92
Fractional positions:
Al: 0.000 0.000 0.000
Al: 0.330 0.327 0.832
Zn: 0.007 0.010 0.496
Zn: 0.676 0.681 0.338
Ag: 0.341 0.345 0.168
Ag: 0.662 0.664 0.664

Output
Excess energy over the best structure of this formula in the dataset ... 20 meV per atom
DOS at the Fermi energy ... 0.193 states/eV/atom
Energy of formation from the pure elements ... -0.013 eV per atom

[8]
Compound: AlZn2Ag
Source: the Alexandria database
Functional: PBE
Structure: relaxed

a b c (Å): 3.456 3.456 5.445
angles (deg): 90.00 90.00 90.00
Fractional positions:
Al: 0.000 0.000 0.000
Zn: 0.000 0.000 0.492
Zn: 0.500 0.500 0.257
Ag: 0.500 0.500 0.756

Output
DOS at the Fermi energy ... 0.341 states/eV/atom
Energy of formation from the pure elements ... 0.014 eV per atom